Entry 1:
Crystalline BeIrS2N at its relaxed geometry, computed with PBE.

Cell and atoms, written as POSCAR:
```
BeIrS2N
1.0
4.8557 0.0000 0.0000
0.0000 4.8557 0.0000
0.0000 0.0000 3.6214
Be Ir S N
1 1 2 1
Cartesian
0.0000 0.0000 0.0000
2.4279 2.4279 1.8107
0.0000 2.4279 1.8107
2.4279 0.0000 1.8107
2.4279 2.4279 0.0000
```

crystal system: tetragonal
space-group type: No. 123
total magnetization: 0.0000 μB per atom
distance to the lowest polymorph of the same formula: 0 meV per atom
E_form (uncorrected): 0.79 eV/atom
E_tot: -25.2 eV for the cell shown

---

Entry 2:
Crystalline PmY3ErSc at its relaxed geometry, computed with PBE.

Cell and atoms, written as POSCAR:
```
PmY3ErSc
1.0
2.4802 -7.4832 0.0000
2.4802 7.4832 0.0000
0.0000 0.0000 10.0017
Pm Y Er Sc
2 6 2 2
Cartesian
2.4802 7.4393 7.5013
2.4802 -7.4393 2.5004
2.4802 4.9897 5.0122
2.4802 4.9897 9.9904
2.4802 2.5303 7.5013
2.4802 -2.5303 2.5004
2.4802 -4.9897 0.0113
2.4802 -4.9897 4.9895
2.4802 0.0000 0.0000
2.4802 0.0000 5.0009
2.4802 2.5014 2.5004
2.4802 -2.5014 7.5013
```

crystal system: orthorhombic
energy of formation: 0.042 eV per atom
space-group type: No. 63
total magnetization: 0.0000 μB per atom
E_tot: -69.6 eV for the cell shown

---

Entry 3:
Crystalline Cs2RbLiBr at its relaxed geometry, computed with PBE.

Cell and atoms, written as POSCAR:
```
Cs2RbLiBr
1.0
7.9815 0.0000 0.0000
0.0000 7.9815 0.0000
0.0000 0.0000 5.2825
Cs Rb Li Br
2 1 1 1
Cartesian
0.0000 3.9907 0.0000
3.9907 0.0000 0.0000
0.0000 0.0000 2.6413
3.9907 3.9907 2.6413
3.9907 3.9907 0.0000
```

crystal system: tetragonal
space-group type: No. 123
total magnetization: 0.0000 μB per atom
distance to the lowest polymorph of the same formula: 63 meV per atom
E_form (uncorrected): -0.50 eV/atom
E_tot: -8.8 eV for the cell shown

---

Entry 4:
Crystalline HgGeW3 at its relaxed geometry, computed with PBE.

Cell and atoms, written as POSCAR:
```
HgGeW3
1.0
4.6342 0.0000 0.0000
0.0000 4.6342 0.0000
0.0000 0.0000 4.6342
Hg Ge W
1 1 3
Cartesian
0.0000 0.0000 0.0000
2.3171 2.3171 2.3171
0.0000 2.3171 2.3171
2.3171 0.0000 2.3171
2.3171 2.3171 0.0000
```

crystal system: cubic
energy of formation: 1.763 eV per atom
space-group type: No. 221
total magnetization: 0.0000 μB per atom
E_tot: -35.0 eV for the cell shown

---

Entry 5:
Crystalline Fe3AgPt at its relaxed geometry, computed with PBE.

Cell and atoms, written as POSCAR:
```
Fe3AgPt
1.0
4.6962 0.0000 0.0000
0.0000 4.6962 0.0000
0.0000 0.0000 4.6962
Fe Ag Pt
3 1 1
Cartesian
0.0000 0.0000 2.3481
0.0000 2.3481 0.0000
2.3481 0.0000 0.0000
2.3481 2.3481 2.3481
0.0000 0.0000 0.0000
```

crystal system: cubic
energy of formation: 1.076 eV per atom
space-group type: No. 221
total magnetization: 1.9979 μB per atom
distance to the lowest polymorph of the same formula: 0 meV per atom
E_tot: -28.9 eV for the cell shown

---

Entry 6:
Crystalline OsW2 at its relaxed geometry, computed with PBE.

Cell and atoms, written as POSCAR:
```
OsW2
1.0
0.0000 3.6454 3.6454
3.6454 0.0000 3.6454
3.6454 3.6454 0.0000
Os W
2 4
Cartesian
0.9113 0.9113 0.9113
6.3794 6.3794 6.3794
3.6454 1.8227 1.8227
1.8227 3.6454 1.8227
1.8227 1.8227 3.6454
3.6454 3.6454 3.6454
```

crystal system: cubic
energy of formation: 0.510 eV per atom
space-group type: No. 227
total magnetization: 0.0000 μB per atom
distance to the lowest polymorph of the same formula: 508 meV per atom
E_tot: -71.2 eV for the cell shown

---

The lowest E_tot belongs to which entry?
OsW2

---

What is the E_tot in the third record?
-8.8 eV for the cell shown